Record 1
{
  "formula": "CaTe2Ru",
  "functional": "PBE",
  "state": "relaxed",
  "raw_formation_energy_ev_per_atom": -0.711,
  "e_tot_ev_per_cell": -20.41,
  "cell": [[4.143, -0.913, -0.330], [2.851, 3.141, -0.330], [0.550, 0.175, 6.408]],
  "species": ["Ru", "Ca", "Te", "Te"],
  "fractional_positions": [[0.375, 0.375, 0.250], [0.375, 0.375, 0.750], [0.042, 0.042, 0.061], [0.708, 0.708, 0.439]]
}

---

Record 2
{
  "formula": "HoHgBiPb",
  "functional": "PBE",
  "state": "relaxed",
  "e_tot_ev_per_cell": -13.33,
  "cell": [[5.465, 0.000, 0.000], [2.732, 4.732, 0.000], [2.732, 1.577, 4.462]],
  "species": ["Pb", "Ho", "Bi", "Hg"],
  "fractional_positions": [[0.500, 0.500, 0.500], [0.000, 0.000, 0.000], [0.750, 0.750, 0.750], [0.250, 0.250, 0.250]]
}

---

Record 3
{
  "formula": "TlCd4Hg3",
  "functional": "PBE",
  "state": "relaxed",
  "e_tot_ev_per_cell": -6.66,
  "cell": [[-2.594, -1.775, -1.584], [-0.592, -3.368, 0.834], [-12.958, 3.697, 13.159]],
  "species": ["Tl", "Cd", "Cd", "Cd", "Cd", "Hg", "Hg", "Hg"],
  "fractional_positions": [[0.000, 0.000, 0.000], [0.621, 0.621, 0.136], [0.874, 0.874, 0.378], [0.379, 0.379, 0.864], [0.126, 0.126, 0.622], [0.752, 0.752, 0.743], [0.500, 0.500, 0.500], [0.248, 0.248, 0.257]]
}

---

Record 4
{
  "formula": "La3Pr2NbN6",
  "functional": "PBE",
  "state": "relaxed",
  "raw_formation_energy_ev_per_atom": -1.248,
  "e_tot_ev_per_cell": -99.34,
  "cell": [[-2.917, 5.284, 1.524], [-3.184, -4.670, -2.608], [0.851, -2.384, 5.688]],
  "species": ["La", "La", "La", "Pr", "Pr", "Nb", "N", "N", "N", "N", "N", "N"],
  "fractional_positions": [[0.164, 0.836, 0.500], [0.836, 0.164, 0.500], [0.500, 0.500, 0.500], [0.333, 0.667, 0.000], [0.667, 0.333, 0.000], [0.000, 0.000, 0.000], [0.926, 0.633, 0.778], [0.779, 0.779, 0.231], [0.074, 0.367, 0.222], [0.633, 0.926, 0.778], [0.221, 0.221, 0.769], [0.367, 0.074, 0.222]]
}

---

Record 5
{
  "formula": "Tb6Pr2Nd",
  "functional": "PBE",
  "state": "relaxed",
  "e_tot_ev_per_cell": -82.51,
  "cell": [[-0.618, 1.695, -5.862], [-2.575, -9.238, -3.483], [-10.162, -0.878, -0.266]],
  "species": ["Tb", "Tb", "Tb", "Tb", "Tb", "Tb", "Tb", "Tb", "Tb", "Tb", "Tb", "Tb", "Pr", "Pr", "Pr", "Pr", "Nd", "Nd"],
  "fractional_positions": [[0.483, 0.685, 0.411], [0.017, 0.589, 0.315], [0.517, 0.315, 0.589], [0.983, 0.411, 0.685], [0.648, 0.078, 0.350], [0.852, 0.650, 0.922], [0.352, 0.922, 0.650], [0.148, 0.350, 0.078], [0.317, 0.746, 0.019], [0.183, 0.981, 0.254], [0.683, 0.254, 0.981], [0.817, 0.019, 0.746], [0.418, 0.564, 0.769], [0.082, 0.231, 0.436], [0.582, 0.436, 0.231], [0.918, 0.769, 0.564], [0.250, 0.102, 0.898], [0.750, 0.898, 0.102]]
}

---

Record 6
{
  "formula": "Sr3CaRh",
  "functional": "PBE",
  "state": "relaxed",
  "e_tot_ev_per_cell": -30.80,
  "cell": [[-4.658, 2.935, -5.838], [3.261, -7.161, -1.763], [-4.767, -0.831, 6.402]],
  "species": ["Sr", "Sr", "Sr", "Sr", "Sr", "Sr", "Ca", "Ca", "Rh", "Rh"],
  "fractional_positions": [[0.025, 0.974, 0.686], [0.625, 0.972, 0.283], [0.127, 0.563, 0.173], [0.179, 0.120, 0.282], [0.728, 0.566, 0.775], [0.576, 0.417, 0.180], [0.191, 0.537, 0.680], [0.558, 0.000, 0.775], [0.262, 0.899, 0.973], [0.490, 0.639, 0.485]]
}

---

Record 7
{
  "formula": "Y2MgZrP",
  "functional": "PBE",
  "state": "relaxed",
  "e_tot_ev_per_cell": -24.50,
  "cell": [[5.368, 0.000, 0.000], [0.000, 5.078, 0.000], [0.000, 0.000, 5.368]],
  "species": ["Y", "Y", "P", "Mg", "Zr"],
  "fractional_positions": [[0.000, 0.000, 0.500], [0.500, 0.000, 0.000], [0.500, 0.500, 0.500], [0.000, 0.000, 0.000], [0.000, 0.500, 0.000]]
}

---

Record 8
{
  "formula": "Rb2Hg4Bi",
  "functional": "PBE",
  "state": "relaxed",
  "e_tot_ev_per_cell": -7.96,
  "cell": [[-5.779, -0.676, -1.262], [1.412, -1.825, -5.488], [-1.808, -10.204, -0.301]],
  "species": ["Bi", "Rb", "Rb", "Hg", "Hg", "Hg", "Hg"],
  "fractional_positions": [[0.000, 0.000, 0.000], [0.628, 0.628, 0.744], [0.372, 0.372, 0.256], [0.820, 0.820, 0.359], [0.180, 0.180, 0.641], [0.000, 0.500, 0.000], [0.500, 0.000, 0.000]]
}

---

Record 9
{
  "formula": "SrReMo2",
  "functional": "PBE",
  "state": "relaxed",
  "e_tot_ev_per_cell": -32.19,
  "cell": [[-9.777, 2.707, -1.606], [-9.040, 2.157, -4.375], [-9.926, -0.016, -2.642]],
  "species": ["Mo", "Mo", "Re", "Sr"],
  "fractional_positions": [[0.988, 0.988, 0.988], [0.512, 0.512, 0.512], [0.250, 0.250, 0.250], [0.750, 0.750, 0.750]]
}

---

Record 10
{
  "formula": "Rb2MgAl",
  "functional": "PBE",
  "state": "relaxed",
  "e_tot_ev_per_cell": -5.25,
  "cell": [[0.000, 4.476, 4.476], [4.476, 0.000, 4.476], [4.476, 4.476, 0.000]],
  "species": ["Mg", "Al", "Rb", "Rb"],
  "fractional_positions": [[0.000, 0.000, 0.000], [0.500, 0.500, 0.500], [0.250, 0.250, 0.250], [0.750, 0.750, 0.750]]
}

---

Record 11
{
  "formula": "AgTeOs",
  "functional": "PBE",
  "state": "relaxed",
  "raw_formation_energy_ev_per_atom": 0.758,
  "e_tot_ev_per_cell": -14.95,
  "cell": [[-1.819, -1.974, -3.542], [4.342, -0.472, 0.821], [-0.663, -2.795, 1.898]],
  "species": ["Te", "Os", "Ag"],
  "fractional_positions": [[0.333, 0.667, 0.500], [0.667, 0.333, 0.500], [0.000, 0.000, 0.000]]
}

---

Record 12
{
  "formula": "BeZn2S",
  "functional": "PBE",
  "state": "relaxed",
  "raw_formation_energy_ev_per_atom": 0.605,
  "e_tot_ev_per_cell": -7.98,
  "cell": [[0.000, 3.137, 3.137], [3.137, 0.000, 3.137], [3.137, 3.137, 0.000]],
  "species": ["Be", "Zn", "Zn", "S"],
  "fractional_positions": [[0.000, 0.000, 0.000], [0.250, 0.250, 0.250], [0.750, 0.750, 0.750], [0.500, 0.500, 0.500]]
}

---

Record 13
{
  "formula": "ZrSbAs2",
  "functional": "PBE",
  "state": "relaxed",
  "raw_formation_energy_ev_per_atom": -0.240,
  "e_tot_ev_per_cell": -22.93,
  "cell": [[-2.656, 1.490, -1.879], [-2.395, -1.791, 1.965], [-0.232, 5.183, 4.440]],
  "species": ["Sb", "As", "As", "Zr"],
  "fractional_positions": [[0.000, 0.000, 0.514], [0.000, 0.000, 0.953], [0.500, 0.500, 0.230], [0.500, 0.500, 0.803]]
}

---

Record 14
{
  "formula": "SrRhBr2",
  "functional": "PBE",
  "state": "relaxed",
  "raw_formation_energy_ev_per_atom": -0.610,
  "e_tot_ev_per_cell": -14.82,
  "cell": [[2.733, 0.000, 7.676], [-1.366, 2.367, 7.676], [-1.366, -2.367, 7.676]],
  "species": ["Sr", "Rh", "Br", "Br"],
  "fractional_positions": [[0.500, 0.500, 0.500], [0.000, 0.000, 0.000], [0.894, 0.894, 0.894], [0.106, 0.106, 0.106]]
}

---

Record 15
{
  "formula": "ScBe2Cu4",
  "functional": "PBE",
  "state": "relaxed",
  "e_tot_ev_per_cell": -31.08,
  "cell": [[4.134, -0.027, 2.175], [1.849, 4.271, 1.430], [0.013, -0.228, 4.863]],
  "species": ["Sc", "Be", "Be", "Cu", "Cu", "Cu", "Cu"],
  "fractional_positions": [[0.000, 0.000, 0.000], [0.754, 0.500, 0.500], [0.246, 0.500, 0.500], [0.695, 0.604, 0.007], [0.305, 0.396, 0.993], [0.695, 0.007, 0.604], [0.305, 0.993, 0.396]]
}

---

Record 16
{
  "formula": "TlGePbCl5",
  "functional": "PBE",
  "state": "relaxed",
  "raw_formation_energy_ev_per_atom": -0.974,
  "e_tot_ev_per_cell": -55.43,
  "cell": [[7.654, 0.659, -0.508], [-1.604, 7.513, -0.508], [-3.137, -4.237, 9.917]],
  "species": ["Tl", "Tl", "Ge", "Ge", "Pb", "Pb", "Cl", "Cl", "Cl", "Cl", "Cl", "Cl", "Cl", "Cl", "Cl", "Cl"],
  "fractional_positions": [[0.315, 0.685, 0.250], [0.685, 0.315, 0.750], [0.734, 0.266, 0.250], [0.266, 0.734, 0.750], [0.000, 0.000, 0.500], [0.000, 0.000, 0.000], [0.046, 0.954, 0.250], [0.954, 0.046, 0.750], [0.885, 0.356, 0.089], [0.115, 0.644, 0.911], [0.644, 0.115, 0.411], [0.356, 0.885, 0.589], [0.775, 0.595, 0.408], [0.225, 0.405, 0.592], [0.405, 0.225, 0.092], [0.595, 0.775, 0.908]]
}

---

Record 17
{
  "formula": "Be2FeHg",
  "functional": "PBE",
  "state": "relaxed",
  "e_tot_ev_per_cell": -14.82,
  "cell": [[4.113, 0.090, -0.140], [3.184, 2.605, -0.140], [0.833, 0.308, 4.853]],
  "species": ["Be", "Be", "Hg", "Fe"],
  "fractional_positions": [[0.988, 0.988, 0.079], [0.512, 0.512, 0.421], [0.750, 0.750, 0.750], [0.250, 0.250, 0.250]]
}

---

Record 18
{
  "formula": "ReAu2Cl",
  "functional": "PBE",
  "state": "relaxed",
  "raw_formation_energy_ev_per_atom": 0.553,
  "e_tot_ev_per_cell": -18.64,
  "cell": [[2.926, 0.000, 0.000], [0.000, 2.926, 0.000], [0.000, 0.000, 8.704]],
  "species": ["Au", "Au", "Cl", "Re"],
  "fractional_positions": [[0.000, 0.000, 0.969], [0.500, 0.500, 0.209], [0.000, 0.000, 0.574], [0.500, 0.500, 0.748]]
}

---

Record 19
{
  "formula": "Y2ZrCuS",
  "functional": "PBE",
  "state": "relaxed",
  "raw_formation_energy_ev_per_atom": 0.680,
  "e_tot_ev_per_cell": -26.30,
  "cell": [[-4.563, 3.114, -0.824], [-3.215, -4.491, 0.828], [-0.164, 0.940, 4.462]],
  "species": ["Y", "Y", "S", "Cu", "Zr"],
  "fractional_positions": [[0.000, 0.500, 0.000], [0.500, 0.000, 0.000], [0.500, 0.500, 0.500], [0.000, 0.000, 0.500], [0.000, 0.000, 0.000]]
}

---

Record 20
{
  "formula": "CsRb2NaH",
  "functional": "PBE",
  "state": "relaxed",
  "e_tot_ev_per_cell": -7.49,
  "cell": [[-3.890, -4.390, -2.217], [4.883, -3.110, -2.409], [0.623, -3.419, 5.677]],
  "species": ["Cs", "Na", "Rb", "Rb", "H"],
  "fractional_positions": [[0.000, 0.000, 0.500], [0.500, 0.500, 0.500], [0.000, 0.500, 0.000], [0.500, 0.000, 0.000], [0.000, 0.000, 0.000]]
}